[1]
# Rb2ErTiO4 | the Alexandria database | PBE-GGA | relaxed
# Uncorrected formation energy (eV/atom): -2.2670
# Crystal system: orthorhombic
data_Rb2ErTiO4
_space_group_name_H-M_alt 'F d d d'
_space_group_IT_number 70
_cell_length_a 5.8936
_cell_length_b 13.2657
_cell_length_c 23.1157
_cell_angle_alpha 90.00
_cell_angle_beta 90.00
_cell_angle_gamma 90.00
loop_
_space_group_symop_operation_xyz
'x,y,z'
'-x,-y,-z'
'-x+1/4,-y+1/4,z'
'x+1/4,y+1/4,-z'
'x,-y+1/4,-z+1/4'
'-x,y+1/4,z+1/4'
'-x+1/4,y,-z+1/4'
'x+1/4,-y,z+1/4'
'x,y+1/2,z+1/2'
'-x,-y+1/2,-z+1/2'
'-x+1/4,-y+3/4,z+1/2'
'x+1/4,y+3/4,-z+1/2'
'x,-y+3/4,-z+3/4'
'-x,y+3/4,z+3/4'
'-x+1/4,y+1/2,-z+3/4'
'x+1/4,-y+1/2,z+3/4'
'x+1/2,y,z+1/2'
'-x+1/2,-y,-z+1/2'
'-x+3/4,-y+1/4,z+1/2'
'x+3/4,y+1/4,-z+1/2'
'x+1/2,-y+1/4,-z+3/4'
'-x+1/2,y+1/4,z+3/4'
'-x+3/4,y,-z+3/4'
'x+3/4,-y,z+3/4'
'x+1/2,y+1/2,z'
'-x+1/2,-y+1/2,-z'
'-x+3/4,-y+3/4,z'
'x+3/4,y+3/4,-z'
'x+1/2,-y+3/4,-z+1/4'
'-x+1/2,y+3/4,z+1/4'
'-x+3/4,y+1/2,-z+1/4'
'x+3/4,-y+1/2,z+1/4'
loop_
_atom_site_label
_atom_site_fract_x
_atom_site_fract_y
_atom_site_fract_z
Rb1 0.1250 0.1250 0.3069
Er1 0.1250 0.1250 0.1250
Ti1 0.1250 0.1250 0.6250
O1 0.0888 0.2962 0.8374

=====

[2]
# MnRh4 | the Alexandria database | PBE-GGA | relaxed
# DFT formation energy (eV/atom): 1.12
# Crystal system: cubic
data_MnRh4
_space_group_name_H-M_alt 'P m -3 m'
_space_group_IT_number 221
_space_group_name_Hall '-P 4 2 3'
_cell_length_a 4.3759
_cell_length_b 4.3759
_cell_length_c 4.3759
_cell_angle_alpha 90.00
_cell_angle_beta 90.00
_cell_angle_gamma 90.00
loop_
_atom_site_label
_atom_site_fract_x
_atom_site_fract_y
_atom_site_fract_z
Mn1 0.0000 0.0000 0.0000
Rh1 0.0000 0.0000 0.5000
Rh2 0.5000 0.5000 0.5000

=====

[3]
# Mn2AlB | the Alexandria database | PBE-GGA | relaxed
# DFT formation energy (eV/atom): 0.41
# Crystal system: tetragonal
data_Mn2AlB
_space_group_name_H-M_alt 'I -4 2 d'
_space_group_IT_number 122
_space_group_name_Hall 'I -4 2bw'
_cell_length_a 3.4419
_cell_length_b 3.4419
_cell_length_c 15.8269
_cell_angle_alpha 90.00
_cell_angle_beta 90.00
_cell_angle_gamma 90.00
loop_
_atom_site_label
_atom_site_fract_x
_atom_site_fract_y
_atom_site_fract_z
Mn1 0.1611 0.7500 0.1250
Al1 0.0000 0.0000 0.5000
B1 0.0000 0.0000 0.0000

=====

[4]
# BaGaCuAg2 | the Alexandria database | PBE-GGA | relaxed
# DFT formation energy (eV/atom): -0.07
# Crystal system: tetragonal
data_BaGaCuAg2
_space_group_name_H-M_alt 'P 4/m m m'
_space_group_IT_number 123
_space_group_name_Hall '-P 4 2'
_cell_length_a 5.0938
_cell_length_b 5.0938
_cell_length_c 4.8288
_cell_angle_alpha 90.00
_cell_angle_beta 90.00
_cell_angle_gamma 90.00
loop_
_atom_site_label
_atom_site_fract_x
_atom_site_fract_y
_atom_site_fract_z
Ba1 0.0000 0.0000 0.0000
Ga1 0.5000 0.5000 0.5000
Cu1 0.5000 0.5000 0.0000
Ag1 0.0000 0.5000 0.5000

=====

[5]
# AgSn2AuSe4 | the Alexandria database | PBE-GGA | relaxed
# Uncorrected formation energy (eV/atom): -0.1885
# Crystal system: orthorhombic
data_AgSn2AuSe4
_space_group_name_H-M_alt 'F m m 2'
_space_group_IT_number 42
_space_group_name_Hall 'F 2 -2'
_cell_length_a 8.4776
_cell_length_b 9.7831
_cell_length_c 11.3244
_cell_angle_alpha 90.00
_cell_angle_beta 90.00
_cell_angle_gamma 90.00
loop_
_atom_site_label
_atom_site_fract_x
_atom_site_fract_y
_atom_site_fract_z
Ag1 0.0000 0.0000 0.0000
Sn1 0.2500 0.2500 0.2083
Au1 0.0000 0.0000 0.4189
Se1 0.0000 0.2500 0.3627
Se2 0.2298 0.0000 0.6090

=====

[6]
# RbIn2Ag2 | the Alexandria database | PBE-GGA | relaxed
# DFT formation energy (eV/atom): -0.01
# Crystal system: tetragonal
data_RbIn2Ag2
_space_group_name_H-M_alt 'I 4/m m m'
_space_group_IT_number 139
_space_group_name_Hall '-I 4 2'
_cell_length_a 4.8495
_cell_length_b 4.8495
_cell_length_c 12.2957
_cell_angle_alpha 90.00
_cell_angle_beta 90.00
_cell_angle_gamma 90.00
loop_
_atom_site_label
_atom_site_fract_x
_atom_site_fract_y
_atom_site_fract_z
Rb1 0.0000 0.0000 0.0000
In1 0.0000 0.5000 0.2500
Ag1 0.0000 0.0000 0.3831

=====

[7]
# CaCo2Hg | the Alexandria database | PBE-GGA | relaxed
# DFT formation energy (eV/atom): 0.15
# Crystal system: tetragonal
data_CaCo2Hg
_space_group_name_H-M_alt 'P 4 m m'
_space_group_IT_number 99
_space_group_name_Hall 'P 4 -2'
_cell_length_a 3.1675
_cell_length_b 3.1675
_cell_length_c 7.1969
_cell_angle_alpha 90.00
_cell_angle_beta 90.00
_cell_angle_gamma 90.00
loop_
_atom_site_label
_atom_site_fract_x
_atom_site_fract_y
_atom_site_fract_z
Ca1 0.0000 0.0000 0.0000
Co1 0.0000 0.0000 0.4136
Co2 0.5000 0.5000 0.2918
Hg1 0.5000 0.5000 0.6759

=====

[8]
# BeFeIr2 | the Alexandria database | PBE-GGA | relaxed
# DFT formation energy (eV/atom): -0.11
# Crystal system: tetragonal
data_BeFeIr2
_space_group_name_H-M_alt 'I -4 m 2'
_space_group_IT_number 119
_space_group_name_Hall 'I -4 -2'
_cell_length_a 3.5916
_cell_length_b 3.5916
_cell_length_c 7.7271
_cell_angle_alpha 90.00
_cell_angle_beta 90.00
_cell_angle_gamma 90.00
loop_
_atom_site_label
_atom_site_fract_x
_atom_site_fract_y
_atom_site_fract_z
Be1 0.0000 0.0000 0.0000
Fe1 0.0000 0.5000 0.7500
Ir1 0.0000 0.0000 0.5000
Ir2 0.0000 0.5000 0.2500

=====

The evaluated volume for the records listed, in turn: 1807.3; 83.8; 187.5; 125.3; 939.2; 289.2; 72.2; 99.7 Å³/cell.
The evaluated DOS(E_F) for the records listed, in turn: 0.30; 2.47; 0.78; 0.32; 0.22; 0.50; 0.96; 0.81 states/eV/atom.